This record from Alexandria describes a geometry-optimized CoSNF2 structure. The functional is GGA+U.

CIF file:
```
data_CoSNF2
_chemical_formula_sum 'Co1 S1 N1 F2'
_symmetry_space_group_name_H-M 'P 4/m m m'
_symmetry_Int_Tables_number 123
_symmetry_space_group_name_Hall '-P 4 2'
_cell_length_a 4.5800
_cell_length_b 4.5800
_cell_length_c 3.2840
_cell_angle_alpha 90.00
_cell_angle_beta 90.00
_cell_angle_gamma 90.00
loop_
_atom_site_label
_atom_site_fract_x
_atom_site_fract_y
_atom_site_fract_z
Co1 0.0000 0.0000 0.0000
S1 0.5000 0.5000 0.5000
N1 0.5000 0.5000 0.0000
F1 0.0000 0.5000 0.5000
```

Calculated values
- total magnetization (μB per cell) = 2.66
- distance to the lowest polymorph of the same formula (meV per atom) = 152
- theoretical density (g/cm3) = 3.45